Record 1
Here is an optimized crystal structure of Zn2AgPd from Alexandria via LeMat-Bulk. Energies are from GGA-PBE.

Output
- space-group type = Immm
- Fermi-level density of states (states/eV per cell) = 1.205
- crystal system = orthorhombic
- energy of formation (eV per atom) = 0.0589

Unit cell a=5.852 b=5.852 c=5.852 alpha=56.16 beta=152.55 gamma=132.03
Fractional coordinates of all 4 atoms:
Zn 0.000 0.243 0.243
Zn 0.000 0.757 0.757
Ag 0.000 0.500 0.500
Pd 0.000 0.000 0.000

Record 2
Here is an optimized crystal structure of Zn12AgPd3 from Alexandria via LeMat-Bulk. Energies are from GGA-PBE.

Output
- space-group type = P4/mmm
- Fermi-level density of states (states/eV per cell) = 2.534
- crystal system = tetragonal
- energy of formation (eV per atom) = -0.2511

Unit cell a=3.909 b=3.909 c=15.382 alpha=90.00 beta=90.00 gamma=90.00
Fractional coordinates of all 16 atoms:
Zn 0.500 0.500 0.000
Zn 0.500 0.500 0.253
Zn 0.500 0.500 0.500
Zn 0.500 0.500 0.747
Zn 0.500 0.000 0.130
Zn 0.500 0.000 0.377
Zn 0.500 0.000 0.623
Zn 0.500 0.000 0.870
Zn 0.000 0.500 0.130
Zn 0.000 0.500 0.377
Zn 0.000 0.500 0.623
Zn 0.000 0.500 0.870
Ag 0.000 0.000 0.000
Pd 0.000 0.000 0.253
Pd 0.000 0.000 0.500
Pd 0.000 0.000 0.747

Record 3
Here is an optimized crystal structure of ZnAg3Pd6 from Alexandria via LeMat-Bulk. Energies are from GGA-PBE.

Output
- space-group type = P2_1/m
- Fermi-level density of states (states/eV per cell) = 17.721
- crystal system = monoclinic
- energy of formation (eV per atom) = -0.1131

Unit cell a=4.611 b=7.522 c=9.883 alpha=111.34 beta=90.00 gamma=90.00
Fractional coordinates of all 20 atoms:
Zn 0.250 0.963 0.579
Zn 0.750 0.037 0.421
Ag 0.250 0.547 0.375
Ag 0.750 0.453 0.625
Ag 0.250 0.375 0.775
Ag 0.750 0.625 0.225
Ag 0.250 0.772 0.978
Ag 0.750 0.228 0.022
Pd 0.250 0.458 0.072
Pd 0.750 0.542 0.928
Pd 0.250 0.157 0.174
Pd 0.750 0.843 0.826
Pd 0.250 0.681 0.673
Pd 0.750 0.319 0.327
Pd 0.250 0.243 0.478
Pd 0.750 0.757 0.522
Pd 0.250 0.862 0.290
Pd 0.750 0.138 0.710
Pd 0.250 0.066 0.864
Pd 0.750 0.934 0.136

Record 4
Here is an optimized crystal structure of Zn3AgPd from Alexandria via LeMat-Bulk. Energies are from GGA-PBE.

Output
- space-group type = C2/m
- Fermi-level density of states (states/eV per cell) = 2.946
- crystal system = monoclinic
- energy of formation (eV per atom) = -0.1530

Unit cell a=5.226 b=4.940 c=7.414 alpha=82.33 beta=75.38 gamma=58.07
Fractional coordinates of all 10 atoms:
Zn 0.726 0.000 0.555
Zn 0.274 0.000 0.445
Zn 0.126 0.445 0.684
Zn 0.571 0.555 0.684
Zn 0.874 0.555 0.316
Zn 0.429 0.445 0.316
Ag 0.671 0.658 0.000
Ag 0.329 0.342 0.000
Pd 0.992 0.000 0.810
Pd 0.008 0.000 0.190

The E results, record by record, are as follows: -0.190, -0.173, -0.310, -0.186 Ry per atom.